DFT (PBE) results for crystalline NaCaLa2N at its relaxed geometry.

```
5
Lattice="5.930 0.000 0.000 0.000 5.930 0.000 0.000 0.000 5.268" Properties=species:S:1:pos:R:3 pbc="T T T"
Na 0.000 0.000 0.000
Ca 0.000 0.000 2.634
La 0.000 2.965 2.634
La 2.965 0.000 2.634
N 2.965 2.965 0.000
```

Calculated values
polymorph energy (0 for the lowest one): 2147 meV per atom
crystal system: tetragonal
E_tot: -12.52 eV per cell
V: 185.23 Å³/f.u.
formation energy without anion corrections: 1795 meV per atom